# PBE Er8Sc2Sn, relaxed
# - Energy of formation: -0.070 eV/atom
# - Theoretical density: 8.1 g/cm3
data_Er8Sc2Sn
_chemical_formula_sum 'Er8 Sc2 Sn1'
_cell_length_a 5.1686
_cell_length_b 8.0038
_cell_length_c 8.8084
_cell_angle_alpha 113.41
_cell_angle_beta 107.06
_cell_angle_gamma 90.00
_space_group_name_H-M_alt 'P 1'
_space_group_IT_number 1
loop_
_space_group_symop_operation_xyz
'x,y,z'
loop_
_atom_site_label
_atom_site_type_symbol
_atom_site_fract_x
_atom_site_fract_y
_atom_site_fract_z
Er1 Er 0.3872 0.5562 0.7744
Er2 Er 0.6738 0.9124 0.3476
Er3 Er 0.8384 0.7896 0.6769
Er4 Er 0.9776 0.2716 0.9551
Er5 Er 0.1616 0.2104 0.3231
Er6 Er 0.3262 0.0876 0.6524
Er7 Er 0.6128 0.4438 0.2256
Er8 Er 0.0224 0.7284 0.0449
Sc1 Sc 0.8007 0.3507 0.6013
Sc2 Sc 0.1993 0.6493 0.3987
Sn1 Sn 0.5000 0.0000 0.0000